Entry from Alexandria via LeMat-Bulk: an optimized crystal structure of Cs2TmPdBr6 (PBE).

## Properties
E_form (uncorrected)	-1461	meV/atom
symmetry	No. 166
E	-72.0	eV per cell
N(E_F)	6.0	states/eV/f.u.

Cell: 7.9210 7.9210 13.8298 Å, 73.36 73.36 60.00°
Site moments in Bohr magnetons follow the coordinates.
Element x y z (fractional)
Br  0.2101  0.7065  0.8734  0.02
Br  0.7899  0.2935  0.1266  0.02
Br  0.1291  0.6220  0.6269  0.05
Br  0.3780  0.3780  0.3731  0.05
Br  0.6220  0.1291  0.6269  0.05
Br  0.2935  0.7899  0.1266  0.02
Br  0.2101  0.2101  0.8734  0.02
Br  0.3780  0.8709  0.3731  0.05
Br  0.7065  0.2101  0.8734  0.02
Br  0.6220  0.6220  0.6269  0.05
Br  0.7899  0.7899  0.1266  0.02
Br  0.8709  0.3780  0.3731  0.05
Pd  0.5000  0.5000  0.5000  0.73
Pd  0.0000  0.0000  0.0000  0.64
Cs  0.8766  0.8766  0.3701  0.00
Cs  0.1234  0.1234  0.6299  0.00
Cs  0.7057  0.7057  0.8829  0.00
Cs  0.2943  0.2943  0.1171  0.00
Tm  0.5838  0.5838  0.2487  0.03
Tm  0.4162  0.4162  0.7513  0.03